# Li3Np2CrSe6

A relaxed Li3Np2CrSe6 crystal (PBE-GGA, Alexandria).

- raw formation energy (eV per atom) = -1.063
- magnetization (μB per atom) = 0.917

Cell: 6.864 11.892 6.845 Å, 90.00 109.43 90.00°
Space group C2/m (No. 12)
Inequivalent atoms, fractional coordinates:
Li (0.000, 0.000, 0.000) x2
Li (0.000, 0.336, 0.000) x4
Np (0.000, 0.167, 0.500) x4
Cr (0.000, 0.500, 0.500) x2
Se (0.234, 0.500, 0.254) x4
Se (0.242, 0.342, 0.751) x8


# HfZnP2O

A relaxed HfZnP2O crystal (PBE-GGA, Alexandria).

- raw formation energy (eV per atom) = -0.400
- magnetization (μB per atom) = 0.000
- energy relative to the lowest polymorph listed for this composition (eV per formula unit) = 0.000

Cell: 5.161 5.161 3.916 Å, 90.00 90.00 90.00°
Space group P4/mmm (No. 123)
Inequivalent atoms, fractional coordinates:
Hf (0.000, 0.000, 0.000) x1
Zn (0.500, 0.500, 0.500) x1
P (0.000, 0.500, 0.000) x2
O (0.000, 0.000, 0.500) x1


# HoErNiOs

A relaxed HoErNiOs crystal (PBE-GGA, Alexandria).

- DFT total energy (eV/atom) = -6.88
- magnetization (μB per atom) = 0.000

Cell: 6.743 6.743 6.743 Å, 90.00 90.00 90.00°
Space group F-43m (No. 216)
Inequivalent atoms, fractional coordinates:
Ho (0.000, 0.000, 0.000) x4
Er (0.000, 0.000, 0.500) x4
Ni (0.250, 0.250, 0.750) x4
Os (0.250, 0.250, 0.250) x4